Compound: ZnRe2Os
Source: Alexandria
Functional: PBE-GGA
Structure: optimized geometry

Values from the calculation:
V ... 58 Å³ per cell
E_form ... 0.30 eV/atom
DFT total energy ... -9.05 eV/atom

abc: 4.3573 4.3573 4.3573
angles: 60.00 60.00 60.00
Fractional coordinates of all 4 atoms:
Os 0.5000 0.5000 0.5000
Re 0.0000 0.0000 0.0000
Re 0.7500 0.7500 0.7500
Zn 0.2500 0.2500 0.2500